No. 1
GGA-PBE Tb4Cu3Rh, optimized geometry; total moment = 0.0 μB/cell; ΔH_f (0 K) = -0.420 eV/atom; N(E_F) = 0.744 states/eV/atom
1.0
3.761 0.000 0.000
0.000 4.435 0.000
0.000 0.000 10.460
Tb Cu Rh
4 3 1
Cartesian
1.880 2.217 3.703 Tb
0.000 2.217 9.049 Tb
0.000 0.000 1.438 Tb
1.880 0.000 6.698 Tb
0.000 2.217 5.962 Cu
0.000 0.000 4.489 Cu
1.880 0.000 9.654 Cu
1.880 2.217 0.847 Rh

No. 2
GGA-PBE TbCuRh2, optimized geometry; total moment = 0.0 μB/cell; ΔH_f (0 K) = -0.442 eV/atom; E above lowest polymorph = 0 meV/atom; N(E_F) = 1.178 states/eV/atom
1.0
-3.790 -1.025 -0.239
0.832 -3.520 1.900
-0.709 1.780 3.608
Rh Tb Cu
2 1 1
Cartesian
-0.355 0.890 1.804 Rh
0.416 -1.760 0.950 Rh
-1.834 -1.382 2.634 Tb
-1.895 -0.512 -0.120 Cu

No. 3
GGA-PBE Tb3CuRh2, optimized geometry; total moment = 0.0 μB/cell; ΔH_f (0 K) = -0.655 eV/atom; N(E_F) = 0.511 states/eV/atom
1.0
4.893 0.000 0.000
-2.447 4.238 0.000
0.000 0.000 11.984
Tb Cu Rh
6 2 4
Cartesian
0.000 2.825 4.989 Tb
2.447 1.413 0.975 Tb
0.000 0.000 9.023 Tb
0.000 0.000 2.961 Tb
0.000 2.825 11.009 Tb
2.447 1.413 6.995 Tb
0.000 2.825 8.002 Cu
2.447 1.413 3.982 Cu
0.000 0.000 5.992 Rh
0.000 2.825 2.007 Rh
2.447 1.413 9.977 Rh
0.000 0.000 0.000 Rh

No. 4
GGA-PBE Tb4CuRh2, optimized geometry; total moment = 0.0 μB/cell; ΔH_f (0 K) = -0.551 eV/atom; E above lowest polymorph = 6 meV/atom; N(E_F) = 0.706 states/eV/atom
1.0
7.438 -1.021 -0.153
-1.554 7.348 0.153
-2.828 -3.271 6.151
Tb Cu Rh
8 2 4
Cartesian
5.952 -0.455 2.207 Tb
1.351 2.516 1.550 Tb
3.727 1.614 3.792 Tb
3.300 -2.251 4.512 Tb
2.129 -1.159 1.487 Tb
-0.418 -1.742 4.599 Tb
0.038 2.097 5.438 Tb
5.146 3.247 0.715 Tb
-0.729 3.609 3.153 Cu
3.056 3.056 6.151 Cu
1.339 0.229 3.794 Rh
3.188 4.412 2.359 Rh
3.934 0.766 0.678 Rh
-2.349 0.710 5.472 Rh

No. 5
GGA-PBE Tb3CuRh3, optimized geometry; total moment = 0.0 μB/cell; ΔH_f (0 K) = -0.502 eV/atom; N(E_F) = 0.594 states/eV/atom
1.0
6.442 0.112 -0.006
0.127 6.441 -0.006
-0.044 -0.044 6.969
Tb Cu Rh
6 2 6
Cartesian
0.027 0.027 5.218 Tb
3.150 0.099 1.707 Tb
0.106 3.149 1.707 Tb
3.374 6.410 5.250 Tb
6.418 3.359 5.250 Tb
6.497 6.482 1.739 Tb
3.238 3.230 5.211 Cu
3.286 3.278 1.746 Cu
1.686 1.682 3.519 Rh
1.781 4.738 3.479 Rh
4.742 1.771 3.479 Rh
1.794 4.682 6.963 Rh
4.730 1.827 -0.006 Rh
4.837 4.826 3.438 Rh

No. 6
GGA-PBE Tb2CuRh3, optimized geometry; total moment = 0.0 μB/cell; ΔH_f (0 K) = -0.646 eV/atom; N(E_F) = 0.804 states/eV/atom
1.0
-2.422 -4.576 -1.731
3.350 2.742 -3.326
3.681 -0.077 3.649
Tb Cu Rh
2 1 3
Cartesian
-0.126 -2.394 -2.101 Tb
4.735 0.484 0.693 Tb
0.000 0.000 0.000 Cu
2.305 -0.955 -0.704 Rh
1.841 -0.038 1.825 Rh
0.630 -2.326 0.959 Rh

No. 7
GGA-PBE Tb3Cu3Rh, optimized geometry; total moment = 0.0 μB/cell; ΔH_f (0 K) = -0.394 eV/atom; N(E_F) = 0.589 states/eV/atom
1.0
3.876 0.000 0.000
-1.938 5.078 0.000
0.000 0.000 14.378
Tb Cu Rh
6 6 2
Cartesian
0.000 1.636 13.061 Tb
1.938 3.442 1.317 Tb
0.000 1.636 8.505 Tb
1.938 3.442 5.872 Tb
0.000 4.508 10.783 Tb
1.938 0.569 3.594 Tb
1.938 3.870 12.864 Cu
0.000 1.207 1.513 Cu
1.938 3.870 8.702 Cu
0.000 1.207 5.676 Cu
1.938 2.386 10.783 Cu
0.000 2.691 3.594 Cu
1.938 0.000 0.000 Rh
1.938 0.000 7.189 Rh

No. 8
GGA-PBE Tb5CuRh6, optimized geometry; total moment = 0.0 μB/cell; ΔH_f (0 K) = -0.714 eV/atom; N(E_F) = 0.332 states/eV/atom
1.0
-2.360 -2.584 3.112
-4.503 0.072 -6.879
7.622 -3.069 -0.292
Rh Tb Cu
6 5 1
Cartesian
2.180 -1.915 0.062 Rh
2.558 -4.696 -1.960 Rh
-0.976 -2.789 0.467 Rh
1.736 -2.792 -4.526 Rh
-1.798 -0.885 -2.099 Rh
-1.420 -3.666 -4.121 Rh
4.693 -3.908 0.314 Tb
3.688 -2.050 -2.429 Tb
0.380 -2.791 -2.030 Tb
-0.568 -0.947 -4.742 Tb
-3.934 -1.673 -4.373 Tb
0.000 0.000 0.000 Cu

Look up the total moment of the eighth one. 0.0 μB/cell

What did the fifth record say?
GGA-PBE Tb3CuRh3, optimized geometry; total moment = 0.0 μB/cell; ΔH_f (0 K) = -0.502 eV/atom; N(E_F) = 0.594 states/eV/atom
1.0
6.442 0.112 -0.006
0.127 6.441 -0.006
-0.044 -0.044 6.969
Tb Cu Rh
6 2 6
Cartesian
0.027 0.027 5.218 Tb
3.150 0.099 1.707 Tb
0.106 3.149 1.707 Tb
3.374 6.410 5.250 Tb
6.418 3.359 5.250 Tb
6.497 6.482 1.739 Tb
3.238 3.230 5.211 Cu
3.286 3.278 1.746 Cu
1.686 1.682 3.519 Rh
1.781 4.738 3.479 Rh
4.742 1.771 3.479 Rh
1.794 4.682 6.963 Rh
4.730 1.827 -0.006 Rh
4.837 4.826 3.438 Rh

What is the total moment in the third record? 0.0 μB/cell